[1]
A geometry-optimized TaGeF2 structure, computed with PBE-GGA.

Unit cell a=3.0062 b=3.0062 c=30.4402 alpha=90.00 beta=90.00 gamma=120.00
Space group R-3m (No. 166, hexagonal axes)
Unique sites:
Ta 0.0000 0.0000 0.0000 x3
Ge 0.0000 0.0000 0.5000 x3
F 0.0000 0.0000 0.0621 x6

Computed properties:
Raw total energy: -6.40 eV per atom
Formation energy (no corrections): -1.347 eV per atom
E above lowest polymorph: 0.0 kJ/mol of formula units


[2]
A geometry-optimized MnTlIn2Se4 structure, computed with PBE-GGA.

Unit cell a=4.038 b=14.221 c=15.262 alpha=90.00 beta=90.00 gamma=90.00
Space group Cmcm (No. 63)
Unique sites:
Mn 0.000 0.164 0.250 x4
Tl 0.000 0.119 0.750 x4
In 0.000 0.375 0.558 x8
Se 0.000 0.000 0.000 x4
Se 0.000 0.252 0.108 x8
Se 0.000 0.442 0.750 x4

Computed properties:
Raw total energy: -4.29 eV per atom
Formation energy (no corrections): -0.422 eV per atom


What did the second record say?
A geometry-optimized MnTlIn2Se4 structure, computed with PBE-GGA.

Unit cell a=4.038 b=14.221 c=15.262 alpha=90.00 beta=90.00 gamma=90.00
Space group Cmcm (No. 63)
Unique sites:
Mn 0.000 0.164 0.250 x4
Tl 0.000 0.119 0.750 x4
In 0.000 0.375 0.558 x8
Se 0.000 0.000 0.000 x4
Se 0.000 0.252 0.108 x8
Se 0.000 0.442 0.750 x4

Computed properties:
Raw total energy: -4.29 eV per atom
Formation energy (no corrections): -0.422 eV per atom


Repeat the first record exactly.
A geometry-optimized TaGeF2 structure, computed with PBE-GGA.

Unit cell a=3.0062 b=3.0062 c=30.4402 alpha=90.00 beta=90.00 gamma=120.00
Space group R-3m (No. 166, hexagonal axes)
Unique sites:
Ta 0.0000 0.0000 0.0000 x3
Ge 0.0000 0.0000 0.5000 x3
F 0.0000 0.0000 0.0621 x6

Computed properties:
Raw total energy: -6.40 eV per atom
Formation energy (no corrections): -1.347 eV per atom
E above lowest polymorph: 0.0 kJ/mol of formula units


What is the formula in the second record? MnTlIn2Se4